1.
Material: Pm3ScSn4
Method: DFT, PBE
State: relaxed

Values from the calculation:
**Formation enthalpy at 0 K**: -14.14 kcal/mol of atoms
**Space group**: Pmn2_1
**Raw total energy**: -5.19 eV per atom

Cell: 6.3891 6.3826 10.7016 Å, 90.00 90.00 90.00°
With the nearest neighbours (Å) after each atom.
Positions (direct):
Pm (0.4709, 0.9620, 0.0000)  4 Sn 3.11-3.30
Pm (0.1842, 0.7398, 0.2502)  7 Sn 3.19-3.53, 2 Sc 3.47-3.48, 2 Pm 3.54-3.55
Pm (0.6842, 0.2602, 0.2498)  7 Sn 3.19-3.53, 2 Sc 3.47-3.48, 2 Pm 3.54-3.55
Pm (0.9709, 0.0380, 0.5000)  4 Sn 3.11-3.30
Pm (0.6842, 0.2602, 0.7502)  7 Sn 3.19-3.53, 2 Sc 3.47-3.48, 2 Pm 3.54-3.55
Pm (0.1842, 0.7398, 0.7498)  7 Sn 3.19-3.53, 2 Sc 3.47-3.48, 2 Pm 3.54-3.55
Sc (0.9220, 0.5113, 0.0000)  6 Sn 3.14-3.37, 4 Pm 3.47-3.48
Sc (0.4220, 0.4887, 0.5000)  6 Sn 3.14-3.37, 4 Pm 3.47-3.48
Sn (0.9564, 0.0014, 0.0000)  4 Pm 3.11-3.47, 2 Sc 3.14-3.26, 2 Sn 3.18
Sn (0.4311, 0.4769, 0.0000)  4 Pm 3.11-3.42, 2 Sc 3.14-3.26, 2 Sn 3.22
Sn (0.1832, 0.2425, 0.2216)  2 Sn 3.18-3.22, 6 Pm 3.19-3.52, 1 Sc 3.37
Sn (0.6832, 0.7575, 0.2784)  2 Sn 3.18-3.22, 6 Pm 3.19-3.52, 1 Sc 3.37
Sn (0.9311, 0.5231, 0.5000)  4 Pm 3.11-3.42, 2 Sc 3.14-3.26, 2 Sn 3.22
Sn (0.4564, 0.9986, 0.5000)  4 Pm 3.11-3.47, 2 Sc 3.14-3.26, 2 Sn 3.18
Sn (0.6832, 0.7575, 0.7216)  2 Sn 3.18-3.22, 6 Pm 3.19-3.52, 1 Sc 3.37
Sn (0.1832, 0.2425, 0.7784)  2 Sn 3.18-3.22, 6 Pm 3.19-3.52, 1 Sc 3.37

2.
Material: Pm3Sc2Sn3
Method: DFT, PBE
State: relaxed

Values from the calculation:
**Formation enthalpy at 0 K**: -16.14 kcal/mol of atoms
**Space group**: P6_3/mcm
**Raw total energy**: -5.57 eV per atom

Cell: 6.3751 8.9704 8.9704 Å, 120.00 90.00 90.00°
With the nearest neighbours (Å) after each atom.
Positions (direct):
Pm (0.7500, 0.2421, 0.0000)  5 Sn 3.14-3.50
Pm (0.7500, 0.7579, 0.7579)  5 Sn 3.14-3.50
Pm (0.7500, 0.0000, 0.2421)  5 Sn 3.14-3.50
Pm (0.2500, 0.7579, 0.0000)  5 Sn 3.14-3.50
Pm (0.2500, 0.2421, 0.2421)  5 Sn 3.14-3.50
Pm (0.2500, 0.0000, 0.7579)  5 Sn 3.14-3.50
Sc (0.0000, 0.3333, 0.6667)  6 Sn 3.17, 2 Sc 3.19
Sc (0.5000, 0.6667, 0.3333)  6 Sn 3.17, 2 Sc 3.19
Sc (0.0000, 0.6667, 0.3333)  6 Sn 3.17, 2 Sc 3.19
Sc (0.5000, 0.3333, 0.6667)  6 Sn 3.17, 2 Sc 3.19
Sn (0.7500, 0.5980, 0.0000)  5 Pm 3.14-3.50, 4 Sc 3.17
Sn (0.7500, 0.4020, 0.4020)  5 Pm 3.14-3.50, 4 Sc 3.17
Sn (0.7500, 0.0000, 0.5980)  5 Pm 3.14-3.50, 4 Sc 3.17
Sn (0.2500, 0.4020, 0.0000)  5 Pm 3.14-3.50, 4 Sc 3.17
Sn (0.2500, 0.5980, 0.5980)  5 Pm 3.14-3.50, 4 Sc 3.17
Sn (0.2500, 0.0000, 0.4020)  5 Pm 3.14-3.50, 4 Sc 3.17

3.
Material: Pm5Sc2Sn4
Method: DFT, PBE
State: relaxed

Values from the calculation:
**Formation enthalpy at 0 K**: -9.93 kcal/mol of atoms
**Space group**: C2/m
**Raw total energy**: -5.20 eV per atom

Cell: 4.4340 7.5368 11.2486 Å, 109.74 101.37 90.00°
With the nearest neighbours (Å) after each atom.
Positions (direct):
Pm (0.1603, 0.9276, 0.3207)  4 Sn 3.18-3.34, 1 Pm 3.49, 2 Sc 3.50
Pm (0.8397, 0.0724, 0.6793)  4 Sn 3.18-3.34, 1 Pm 3.49, 2 Sc 3.50
Pm (0.1595, 0.3898, 0.3189)  4 Sn 3.18-3.35, 1 Pm 3.49, 2 Sc 3.49
Pm (0.5000, 0.0000, 0.0000)  4 Sn 3.15
Pm (0.8405, 0.6102, 0.6811)  4 Sn 3.18-3.35, 1 Pm 3.49, 2 Sc 3.49
Sc (0.5734, 0.5724, 0.1469)  5 Sn 2.87-3.09, 1 Sc 3.04
Sc (0.4266, 0.4276, 0.8531)  5 Sn 2.87-3.09, 1 Sc 3.04
Sn (0.7119, 0.7104, 0.4238)  1 Sc 2.87, 6 Pm 3.18-3.19
Sn (0.0005, 0.7031, 0.0010)  1 Sn 3.05, 4 Sc 3.09, 4 Pm 3.15-3.35
Sn (0.2881, 0.2896, 0.5762)  1 Sc 2.87, 6 Pm 3.18-3.19
Sn (0.9995, 0.2969, 0.9990)  1 Sn 3.05, 4 Sc 3.09, 4 Pm 3.15-3.35

4.
Material: Pm2ScSn
Method: DFT, PBE
State: relaxed

Values from the calculation:
**Formation enthalpy at 0 K**: -6.11 kcal/mol of atoms
**Energy above the most stable polymorph in this dataset**: 154 meV/atom
**Space group**: Fm-3m
**Raw total energy**: -5.22 eV per atom

Cell: 5.4183 5.4183 5.4183 Å, 60.00 60.00 60.00°
With the nearest neighbours (Å) after each atom.
Positions (direct):
Sc (0.5000, 0.5000, 0.5000)  8 Pm 3.32
Sn (0.0000, 0.0000, 0.0000)  8 Pm 3.32
Pm (0.2500, 0.2500, 0.2500)  4 Sn 3.32, 4 Sc 3.32
Pm (0.7500, 0.7500, 0.7500)  4 Sc 3.32, 4 Sn 3.32

5.
Material: Pm2ScSn2
Method: DFT, PBE
State: relaxed

Values from the calculation:
**Formation enthalpy at 0 K**: -16.35 kcal/mol of atoms
**Energy above the most stable polymorph in this dataset**: 0 meV/atom
**Space group**: P4/mbm
**Raw total energy**: -5.48 eV per atom

Cell: 4.6091 7.8548 7.8548 Å, 90.00 90.00 90.00°
With the nearest neighbours (Å) after each atom.
Positions (direct):
Pm (0.5000, 0.1716, 0.6716)  6 Sn 3.16-3.34
Pm (0.5000, 0.6716, 0.8284)  6 Sn 3.16-3.34
Pm (0.5000, 0.8284, 0.3284)  6 Sn 3.16-3.34
Pm (0.5000, 0.3284, 0.1716)  6 Sn 3.16-3.34
Sc (0.0000, 0.0000, 0.0000)  4 Sn 3.06
Sc (0.0000, 0.5000, 0.5000)  4 Sn 3.06
Sn (0.0000, 0.3662, 0.8662)  1 Sn 2.97, 2 Sc 3.06, 2 Pm 3.16
Sn (0.0000, 0.8662, 0.6338)  1 Sn 2.97, 2 Sc 3.06, 2 Pm 3.16
Sn (0.0000, 0.6338, 0.1338)  1 Sn 2.97, 2 Sc 3.06, 2 Pm 3.16
Sn (0.0000, 0.1338, 0.3662)  1 Sn 2.97, 2 Sc 3.06, 2 Pm 3.16

6.
Material: Pm8ScSn2
Method: DFT, PBE
State: relaxed

Values from the calculation:
**Formation enthalpy at 0 K**: -0.69 kcal/mol of atoms
**Space group**: C2/m
**Raw total energy**: -4.79 eV per atom

Cell: 6.2344 8.9024 8.9024 Å, 57.36 112.67 112.67°
With the nearest neighbours (Å) after each atom.
Positions (direct):
Pm (0.3164, 0.3974, 0.7997)  2 Sn 3.16-3.24, 1 Sc 3.18, 4 Pm 3.44-3.52
Pm (0.6836, 0.2003, 0.6026)  2 Sn 3.16-3.24, 1 Sc 3.18, 4 Pm 3.44-3.52
Pm (0.2722, 0.8694, 0.8694)  1 Sc 3.17, 2 Sn 3.34-3.37, 2 Pm 3.50
Pm (0.7278, 0.1306, 0.1306)  1 Sc 3.17, 2 Sn 3.34-3.37, 2 Pm 3.50
Pm (0.3164, 0.7997, 0.3974)  2 Sn 3.16-3.24, 1 Sc 3.18, 4 Pm 3.44-3.52
Pm (0.6836, 0.6026, 0.2003)  2 Sn 3.16-3.24, 1 Sc 3.18, 4 Pm 3.44-3.52
Pm (0.8228, 0.6120, 0.6120)  1 Sn 3.14, 4 Pm 3.47-3.52
Pm (0.1772, 0.3880, 0.3880)  1 Sn 3.14, 4 Pm 3.47-3.52
Sc (0.0000, 0.0000, 0.0000)  2 Sn 3.12, 6 Pm 3.17-3.18
Sn (0.6774, 0.7809, 0.7809)  1 Sc 3.12, 7 Pm 3.14-3.37
Sn (0.3226, 0.2191, 0.2191)  1 Sc 3.12, 7 Pm 3.14-3.37

7.
Material: Pm2Sc5Sn4
Method: DFT, PBE
State: relaxed

Values from the calculation:
**Formation enthalpy at 0 K**: -8.48 kcal/mol of atoms
**Space group**: Fmmm
**Raw total energy**: -5.56 eV per atom

Cell: 6.2481 7.0682 8.4815 Å, 80.63 68.39 63.77°
With the nearest neighbours (Å) after each atom.
Positions (direct):
Pm (0.8467, 0.0000, 0.3066)  6 Sn 3.50-3.58, 4 Sc 3.85
Pm (0.1533, 0.0000, 0.6934)  6 Sn 3.50-3.58, 4 Sc 3.85
Sc (0.5000, 0.0000, 0.0000)  4 Sn 2.75
Sc (0.0000, 0.5000, 0.0000)  2 Sc 3.12, 4 Sn 3.17
Sc (0.5000, 0.5000, 0.0000)  2 Sc 3.12, 4 Sn 3.17
Sc (0.2500, 0.5000, 0.5000)  4 Sn 2.80, 2 Sc 3.12
Sc (0.7500, 0.5000, 0.5000)  4 Sn 2.80, 2 Sc 3.12
Sn (0.5188, 0.2480, 0.7144)  3 Sc 2.75-2.80
Sn (0.4812, 0.7520, 0.2856)  3 Sc 2.75-2.80
Sn (0.2332, 0.2480, 0.2856)  3 Sc 2.75-2.80
Sn (0.7668, 0.7520, 0.7144)  3 Sc 2.75-2.80

8.
Material: Pm12ScSn7
Method: DFT, PBE
State: relaxed

Values from the calculation:
**Formation enthalpy at 0 K**: -10.66 kcal/mol of atoms
**Space group**: R-3
**Raw total energy**: -5.03 eV per atom

Cell: 9.2591 9.2591 9.2591 Å, 109.12 109.12 109.12°
With the nearest neighbours (Å) after each atom.
Positions (direct):
Pm (0.0891, 0.3623, 0.8923)  4 Sn 3.19-3.43
Pm (0.6377, 0.1077, 0.9109)  4 Sn 3.19-3.43
Pm (0.6431, 0.2275, 0.5628)  4 Sn 3.26-3.33, 2 Pm 3.35
Pm (0.7725, 0.4372, 0.3569)  4 Sn 3.26-3.33, 2 Pm 3.35
Pm (0.1077, 0.9109, 0.6377)  4 Sn 3.19-3.43
Pm (0.4372, 0.3569, 0.7725)  4 Sn 3.26-3.33, 2 Pm 3.35
Pm (0.5628, 0.6431, 0.2275)  4 Sn 3.26-3.33, 2 Pm 3.35
Pm (0.8923, 0.0891, 0.3623)  4 Sn 3.19-3.43
Pm (0.2275, 0.5628, 0.6431)  4 Sn 3.26-3.33, 2 Pm 3.35
Pm (0.3569, 0.7725, 0.4372)  4 Sn 3.26-3.33, 2 Pm 3.35
Pm (0.3623, 0.8923, 0.0891)  4 Sn 3.19-3.43
Pm (0.9109, 0.6377, 0.1077)  4 Sn 3.19-3.43
Sc (0.0000, 0.0000, 0.0000)  6 Sn 3.13
Sn (0.9659, 0.6390, 0.7830)  1 Sc 3.13, 7 Pm 3.19-3.43
Sn (0.3610, 0.2170, 0.0341)  1 Sc 3.13, 7 Pm 3.19-3.43
Sn (0.2170, 0.0341, 0.3610)  1 Sc 3.13, 7 Pm 3.19-3.43
Sn (0.5000, 0.5000, 0.5000)  6 Pm 3.33, 6 Sn 3.73
Sn (0.7830, 0.9659, 0.6390)  1 Sc 3.13, 7 Pm 3.19-3.43
Sn (0.6390, 0.7830, 0.9659)  1 Sc 3.13, 7 Pm 3.19-3.43
Sn (0.0341, 0.3610, 0.2170)  1 Sc 3.13, 7 Pm 3.19-3.43

9.
Material: PmSc2Sn
Method: DFT, PBE
State: relaxed

Values from the calculation:
**Formation enthalpy at 0 K**: -6.39 kcal/mol of atoms
**Energy above the most stable polymorph in this dataset**: 187 meV/atom
**Space group**: P4/mmm
**Raw total energy**: -5.63 eV per atom

Cell: 3.6839 3.6839 7.6294 Å, 90.00 90.00 90.00°
With the nearest neighbours (Å) after each atom.
Positions (direct):
Sc (0.0000, 0.0000, 0.7137)  4 Sn 3.07, 1 Sc 3.26, 4 Pm 3.40
Sc (0.0000, 0.0000, 0.2863)  4 Sn 3.07, 1 Sc 3.26, 4 Pm 3.40
Sn (0.5000, 0.5000, 0.5000)  8 Sc 3.07
Pm (0.5000, 0.5000, 0.0000)  8 Sc 3.40, 4 Pm 3.68

10.
Material: PmSc2Sn
Method: DFT, PBE
State: relaxed

Values from the calculation:
**Formation enthalpy at 0 K**: -5.74 kcal/mol of atoms
**Energy above the most stable polymorph in this dataset**: 215 meV/atom
**Space group**: Fm-3m
**Raw total energy**: -5.60 eV per atom

Cell: 5.1838 5.1838 5.1838 Å, 60.00 60.00 60.00°
With the nearest neighbours (Å) after each atom.
Positions (direct):
Sc (0.2500, 0.2500, 0.2500)  4 Sn 3.17, 4 Pm 3.17
Sc (0.7500, 0.7500, 0.7500)  4 Sn 3.17, 4 Pm 3.17
Sn (0.5000, 0.5000, 0.5000)  8 Sc 3.17
Pm (0.0000, 0.0000, 0.0000)  8 Sc 3.17

11.
Material: Pm4ScSn
Method: DFT, PBE
State: relaxed

Values from the calculation:
**Formation enthalpy at 0 K**: -2.82 kcal/mol of atoms
**Space group**: C2/c
**Raw total energy**: -5.01 eV per atom

Cell: 6.3342 9.2013 8.3974 Å, 113.99 99.90 112.01°
With the nearest neighbours (Å) after each atom.
Positions (direct):
Pm (0.0666, 0.1909, 0.7938)  2 Sn 3.29-3.33, 2 Sc 3.40-3.45, 3 Pm 3.54-3.58
Pm (0.7619, 0.7104, 0.6242)  2 Sn 3.22, 4 Pm 3.43-3.58, 1 Sc 3.50
Pm (0.2272, 0.6029, 0.7938)  2 Sn 3.29-3.33, 2 Sc 3.40-3.45, 3 Pm 3.54-3.58
Pm (0.3623, 0.9137, 0.6242)  2 Sn 3.22, 4 Pm 3.43-3.58, 1 Sc 3.50
Pm (0.6377, 0.0863, 0.3758)  2 Sn 3.22, 4 Pm 3.43-3.58, 1 Sc 3.50
Pm (0.7728, 0.3971, 0.2062)  2 Sn 3.29-3.33, 2 Sc 3.40-3.45, 3 Pm 3.54-3.58
Pm (0.2381, 0.2896, 0.3758)  2 Sn 3.22, 4 Pm 3.43-3.58, 1 Sc 3.50
Pm (0.9334, 0.8091, 0.2062)  2 Sn 3.29-3.33, 2 Sc 3.40-3.45, 3 Pm 3.54-3.58
Sc (0.3517, 0.6017, 0.2034)  10 Pm 3.40-3.80
Sc (0.6483, 0.3983, 0.7966)  10 Pm 3.40-3.80
Sn (0.2512, 0.0012, 0.0023)  2 Sn 3.17, 8 Pm 3.22-3.33
Sn (0.7488, 0.9988, 0.9977)  2 Sn 3.17, 8 Pm 3.22-3.33

12.
Material: PmScSn2
Method: DFT, PBE
State: relaxed

Values from the calculation:
**Formation enthalpy at 0 K**: -13.24 kcal/mol of atoms
**Space group**: P4/mmm
**Raw total energy**: -5.35 eV per atom

Cell: 3.8974 3.8974 6.8193 Å, 90.00 90.00 90.00°
With the nearest neighbours (Å) after each atom.
Positions (direct):
Sc (0.5000, 0.5000, 0.5000)  8 Sn 3.14, 2 Pm 3.41
Sn (0.0000, 0.0000, 0.7197)  1 Sn 3.00, 4 Sc 3.14, 4 Pm 3.35
Sn (0.0000, 0.0000, 0.2803)  1 Sn 3.00, 4 Sc 3.14, 4 Pm 3.35
Pm (0.5000, 0.5000, 0.0000)  8 Sn 3.35, 2 Sc 3.41

> What is the raw total energy in the twelfth record?

-5.35 eV per atom

> What is the formation enthalpy at 0 K in the third record?

-9.93 kcal/mol of atoms